The following is a DFT calculation (PBE-GGA) of a relaxed structure of Hf2Fe2Ag.

Properties
* uncorrected energy: -8.011 eV/atom
* formation energy from the elements: -75 meV per atom
* space-group type: P4/mbm

Lattice parameters (Å, degrees): 7.0207 7.0207 3.3809 90.00 90.00 90.00
With the nearest neighbours (Å) after each atom.
Sites, in units of the cell vectors:
Hf 0.6778 0.8222 0.5000  6 Fe 2.66-2.70
Hf 0.1778 0.6778 0.5000  6 Fe 2.66-2.70
Hf 0.3222 0.1778 0.5000  6 Fe 2.66-2.70
Hf 0.8222 0.3222 0.5000  6 Fe 2.66-2.70
Ag 0.0000 0.0000 0.0000  4 Fe 2.82, 8 Hf 3.09
Ag 0.5000 0.5000 0.0000  4 Fe 2.82, 8 Hf 3.09
Fe 0.8850 0.6150 0.0000  1 Fe 2.28
Fe 0.3850 0.8850 0.0000  1 Fe 2.28
Fe 0.6150 0.1150 0.0000  1 Fe 2.28
Fe 0.1150 0.3850 0.0000  1 Fe 2.28